(1)
Compound: CdSiSb2
Source: Alexandria via LeMat-Bulk
Functional: PBE
Structure: relaxed

For the formation energy from raw total energies, the calculation gives 0.3919 eV per atom. Its crystal system is orthorhombic. The value obtained for the total energy is -3.25 eV/atom.

The space group is Cmmm (No. 65) and the conventional cell measures 7.716, 7.747 and 3.187 Å, with angles of 90.00, 90.00 and 90.00 degrees. The inequivalent atoms are Cd at (0.000, 0.000, 0.000), Si at (0.000, 0.500, 0.000) and Sb at (0.250, 0.250, 0.500).

=====

(2)
Compound: CdSiSb2
Source: Alexandria via LeMat-Bulk
Functional: PBE
Structure: relaxed

For the formation energy from raw total energies, the calculation gives 0.2856 eV per atom. Its crystal system is monoclinic. The value obtained for the total energy is -3.36 eV/atom.

The space group is Cm (No. 8) and the conventional cell measures 12.531, 3.814 and 4.458 Å, with angles of 90.00, 108.60 and 90.00 degrees. The inequivalent atoms are Cd at (0.000, 0.000, 0.000), Si at (0.231, 0.500, 0.106), Sb at (0.186, 0.000, 0.642) and Sb at (0.396, 0.000, 0.426).

=====

(3)
Compound: Cd2Si2Sb
Source: Alexandria via LeMat-Bulk
Functional: PBE
Structure: relaxed

For the formation energy from raw total energies, the calculation gives 0.4094 eV per atom. Its crystal system is tetragonal. For the distance to the lowest polymorph of the same formula, the calculation gives 122 meV/atom. The value obtained for the total energy is -2.95 eV/atom.

The space group is I4/mmm (No. 139) and the conventional cell measures 4.518, 4.518 and 11.015 Å, with angles of 90.00, 90.00 and 90.00 degrees. The inequivalent atoms are Cd at (0.000, 0.500, 0.250), Si at (0.000, 0.000, 0.105) and Sb at (0.000, 0.000, 0.500).

=====

(4)
Compound: CdSiSb2
Source: Alexandria via LeMat-Bulk
Functional: PBE
Structure: relaxed

For the formation energy from raw total energies, the calculation gives 0.2436 eV per atom. Its crystal system is monoclinic. The value obtained for the total energy is -3.40 eV/atom.

The space group is Pm (No. 6) and the conventional cell measures 3.122, 5.675 and 5.803 Å, with angles of 90.00, 90.03 and 90.00 degrees. The inequivalent atoms are Cd at (0.000, 0.000, 0.000), Si at (0.501, 0.500, 0.480), Sb at (0.002, 0.500, 0.876) and Sb at (0.501, 0.000, 0.456).

=====

(5)
Compound: CdSi2Sb2
Source: Alexandria via LeMat-Bulk
Functional: PBE
Structure: relaxed

For the formation energy from raw total energies, the calculation gives 0.4018 eV per atom. Its crystal system is tetragonal. The value obtained for the total energy is -3.60 eV/atom.

The space group is P4/mbm (No. 127) and the conventional cell measures 7.863, 7.863 and 3.659 Å, with angles of 90.00, 90.00 and 90.00 degrees. The inequivalent atoms are Cd at (0.000, 0.000, 0.000), Si at (0.120, 0.380, 0.000) and Sb at (0.167, 0.667, 0.500).

=====

(6)
Compound: Cd2SiSb
Source: Alexandria via LeMat-Bulk
Functional: PBE
Structure: relaxed

For the formation energy from raw total energies, the calculation gives 0.3584 eV per atom. Its crystal system is orthorhombic. For the distance to the lowest polymorph of the same formula, the calculation gives 125 meV/atom. The value obtained for the total energy is -2.49 eV/atom.

The space group is Cmmm (No. 65) and the conventional cell measures 5.884, 10.071 and 3.133 Å, with angles of 90.00, 90.00 and 90.00 degrees. The inequivalent atoms are Cd at (0.250, 0.250, 0.000), Si at (0.000, 0.000, 0.500) and Sb at (0.000, 0.500, 0.500).